1.
First-principles (PBEsol) data for a geometry-optimized SrAlCl3 structure, as listed in Alexandria via LeMat-Bulk.

The structure in POSCAR format:
```
SrAlCl3
1.0
5.5360 0.0000 0.0000
0.0000 5.5360 0.0000
0.0000 0.0000 5.5360
Sr Al Cl
1 1 3
direct
0.0000 0.0000 0.0000
0.5000 0.5000 0.5000
0.0000 0.0000 0.5000
0.0000 0.5000 0.0000
0.5000 0.0000 0.0000
```

DFT total energy = -18.68 eV for the cell shown
Formation energy from raw total energies = -1.34 eV/atom
Theoretical density = 2.2 g/cm3
Space group = Pm-3m
Size of the total moment = 0.000 Bohr magnetons per cell

2.
First-principles (PBEsol) data for a geometry-optimized SrAl2Cl structure, as listed in Alexandria via LeMat-Bulk.

The structure in POSCAR format:
```
SrAl2Cl
1.0
3.7215 0.0000 0.0000
0.0000 6.6372 0.0000
-0.0326 0.0000 4.2074
Sr Al Cl
1 2 1
direct
0.0000 0.0000 0.0000
0.2464 0.5000 0.7602
0.7536 0.5000 0.2398
0.5000 0.0000 0.5000
```

DFT total energy = -14.26 eV for the cell shown
Formation energy from raw total energies = -0.56 eV/atom
Theoretical density = 2.8 g/cm3
Space group = P2/m
Size of the total moment = 0.000 Bohr magnetons per cell

3.
First-principles (PBEsol) data for a geometry-optimized SrAl2Cl8 structure, as listed in Alexandria via LeMat-Bulk.

The structure in POSCAR format:
```
SrAl2Cl8
1.0
-5.7094 5.7094 10.2025
5.7094 -5.7094 10.2025
5.7094 5.7094 -10.2025
Sr Al Cl
4 8 32
direct
0.1250 0.3750 0.7500
0.3750 0.1250 0.2500
0.6250 0.8750 0.7500
0.8750 0.6250 0.2500
0.2130 0.2500 0.4630
0.2500 0.2870 0.0370
0.2500 0.7870 0.5370
0.2870 0.7500 0.0370
0.7130 0.2500 0.9630
0.7500 0.2130 0.4630
0.7500 0.7130 0.9630
0.7870 0.7500 0.5370
0.0822 0.8787 0.4838
0.0950 0.6631 0.9329
0.0984 0.3949 0.5162
0.1051 0.4016 0.9838
0.1213 0.1051 0.2035
0.1621 0.0950 0.9319
0.1631 0.5950 0.4329
0.2302 0.1621 0.5671
0.2698 0.8369 0.9319
0.3369 0.7698 0.4319
0.3379 0.2698 0.9329
0.3787 0.5822 0.9838
0.3949 0.3787 0.2965
0.4016 0.9178 0.2965
0.4050 0.3379 0.5681
0.4178 0.9016 0.7965
0.5822 0.0984 0.2035
0.5950 0.6621 0.4319
0.5984 0.0822 0.7035
0.6051 0.6213 0.7035
0.6213 0.4178 0.0162
0.6621 0.7302 0.0671
0.6631 0.2302 0.5681
0.7302 0.1631 0.0681
0.7698 0.8379 0.4329
0.8369 0.4050 0.5671
0.8379 0.9050 0.0681
0.8787 0.8949 0.7965
0.8949 0.5984 0.0162
0.9016 0.6051 0.4838
0.9050 0.3369 0.0671
0.9178 0.1213 0.5162
```

DFT total energy = -183.20 eV for the cell shown
Formation energy from raw total energies = -1.79 eV/atom
Theoretical density = 2.1 g/cm3
Space group = I4_1/acd
Size of the total moment = 0.003 Bohr magnetons per cell

4.
First-principles (PBEsol) data for a geometry-optimized TaAlCl2 structure, as listed in Alexandria via LeMat-Bulk.

The structure in POSCAR format:
```
TaAlCl2
1.0
4.9420 0.0000 0.0000
0.0000 1.5088 4.6046
0.0000 -1.5088 4.6046
Ta Al Cl
1 1 2
direct
0.0000 0.0000 0.0000
0.5000 0.4127 0.4127
0.0000 0.7149 0.7149
0.5000 0.1587 0.1587
```

DFT total energy = -21.77 eV for the cell shown
Formation energy from raw total energies = -0.28 eV/atom
Theoretical density = 6.7 g/cm3
Space group = Amm2
Size of the total moment = 0.000 Bohr magnetons per cell

5.
First-principles (PBEsol) data for a geometry-optimized TaAlCl structure, as listed in Alexandria via LeMat-Bulk.

The structure in POSCAR format:
```
TaAlCl
1.0
0.0000 2.6536 8.1234
1.4466 0.0000 8.1234
1.4466 2.6536 0.0000
Ta Al Cl
1 1 1
direct
0.0000 0.0000 0.0000
0.6455 0.6455 0.3545
0.3787 0.3787 0.6213
```

DFT total energy = -18.82 eV for the cell shown
Formation energy from raw total energies = -0.06 eV/atom
Theoretical density = 6.5 g/cm3
Space group = Fmm2
Size of the total moment = 0.000 Bohr magnetons per cell

6.
First-principles (PBEsol) data for a geometry-optimized TaAlCl2 structure, as listed in Alexandria via LeMat-Bulk.

The structure in POSCAR format:
```
TaAlCl2
1.0
2.8850 -4.1328 0.0000
2.8850 4.1328 0.0000
0.0000 0.0000 2.9529
Ta Al Cl
1 1 2
direct
0.0000 0.0000 0.0000
0.5000 0.5000 0.0000
0.0000 0.5000 0.5000
0.5000 0.0000 0.5000
```

DFT total energy = -19.20 eV for the cell shown
Formation energy from raw total energies = 0.37 eV/atom
Theoretical density = 6.6 g/cm3
Space group = Cmmm
Size of the total moment = 0.000 Bohr magnetons per cell

7.
First-principles (PBEsol) data for a geometry-optimized Ta2AlCl structure, as listed in Alexandria via LeMat-Bulk.

The structure in POSCAR format:
```
Ta2AlCl
1.0
1.4281 -2.6417 0.0000
1.4281 2.6417 0.0000
0.0000 0.0000 9.0410
Ta Al Cl
2 1 1
direct
0.0000 0.0000 0.2418
0.0000 0.0000 0.7582
0.5000 0.5000 0.5000
0.5000 0.5000 0.0000
```

DFT total energy = -30.84 eV for the cell shown
Formation energy from raw total energies = 0.09 eV/atom
Theoretical density = 10.3 g/cm3
Space group = Cmmm
Size of the total moment = 0.000 Bohr magnetons per cell

8.
First-principles (PBEsol) data for a geometry-optimized TaAlCl2 structure, as listed in Alexandria via LeMat-Bulk.

The structure in POSCAR format:
```
TaAlCl2
1.0
6.2759 -1.4766 0.0000
6.2759 1.4766 0.0000
-0.9368 0.0000 4.7555
Ta Al Cl
1 1 2
direct
0.0000 0.0000 0.0000
0.5000 0.5000 0.5000
0.3443 0.3443 0.7990
0.6557 0.6557 0.2010
```

DFT total energy = -22.24 eV for the cell shown
Formation energy from raw total energies = -0.40 eV/atom
Theoretical density = 5.3 g/cm3
Space group = C2/m
Size of the total moment = 0.000 Bohr magnetons per cell